Ca7CoN6: relaxed, GGA-PBEsol.

Lattice parameters (Å, degrees): 10.6981 6.1609 12.7453 90.00 90.00 90.00
Atoms (fractional coordinates):
Ca: 0.0000 0.0570 0.2500
Ca: 0.0000 0.9430 0.7500
Ca: 0.0394 0.2314 0.5239
Ca: 0.0394 0.7686 0.0239
Ca: 0.2018 0.3894 0.1242
Ca: 0.2018 0.6106 0.6242
Ca: 0.2277 0.3592 0.8743
Ca: 0.2277 0.6408 0.3743
Ca: 0.2723 0.1408 0.3743
Ca: 0.2723 0.8592 0.8743
Ca: 0.2982 0.1106 0.6242
Ca: 0.2982 0.8894 0.1242
Ca: 0.4606 0.2686 0.0239
Ca: 0.4606 0.7314 0.5239
Ca: 0.5000 0.4430 0.7500
Ca: 0.5000 0.5570 0.2500
Ca: 0.5394 0.2686 0.4761
Ca: 0.5394 0.7314 0.9761
Ca: 0.7018 0.1106 0.8758
Ca: 0.7018 0.8894 0.3758
Ca: 0.7277 0.1408 0.1257
Ca: 0.7277 0.8592 0.6257
Ca: 0.7723 0.3592 0.6257
Ca: 0.7723 0.6408 0.1257
Ca: 0.7982 0.3894 0.3758
Ca: 0.7982 0.6106 0.8758
Ca: 0.9606 0.2314 0.9761
Ca: 0.9606 0.7686 0.4761
Co: 0.0000 0.4327 0.7500
Co: 0.0000 0.5673 0.2500
Co: 0.5000 0.0673 0.2500
Co: 0.5000 0.9327 0.7500
N: 0.0510 0.3874 0.3539
N: 0.0510 0.6126 0.8539
N: 0.1279 0.2558 0.7095
N: 0.1279 0.7442 0.2095
N: 0.1671 0.0939 0.9985
N: 0.1671 0.9061 0.4985
N: 0.3329 0.4061 0.4985
N: 0.3329 0.5939 0.9985
N: 0.3721 0.2442 0.2095
N: 0.3721 0.7558 0.7095
N: 0.4490 0.1126 0.8539
N: 0.4490 0.8874 0.3539
N: 0.5510 0.1126 0.6461
N: 0.5510 0.8874 0.1461
N: 0.6279 0.2442 0.2905
N: 0.6279 0.7558 0.7905
N: 0.6671 0.4061 0.0015
N: 0.6671 0.5939 0.5015
N: 0.8329 0.0939 0.5015
N: 0.8329 0.9061 0.0015
N: 0.8721 0.2558 0.7905
N: 0.8721 0.7442 0.2905
N: 0.9490 0.3874 0.1461
N: 0.9490 0.6126 0.6461

Computed properties:
magnetic moment = 0.959 μB per formula unit
calculated volume = 840.04 Å³ per cell
formation energy without anion corrections = -1057.7 kJ/mol of formula units